DFT (GGA-PBEsol) results for a relaxed structure of TlAgRh.

```
TlAgRh
1.0
-3.156 1.183 2.839
-3.571 -2.532 0.506
-0.576 -2.276 3.729
Ag Rh Tl
1 1 1
Direct
0.500 0.500 0.500
0.250 0.250 0.250
0.000 0.000 0.000
```

Calculated values
E_tot: -4.38 eV/atom
distance to the lowest polymorph of the same formula: 0.0856 eV per atom

=====

DFT (GGA-PBEsol) results for a relaxed structure of TlAgRh2.

```
TlAgRh2
1.0
3.276 0.000 0.000
0.000 4.423 0.000
0.000 0.000 4.423
Ag Rh Tl
1 2 1
Direct
0.500 0.500 0.125
0.000 0.000 0.125
0.000 0.500 0.625
0.500 0.000 0.625
```

Calculated values
E_tot: -5.35 eV/atom

=====

DFT (GGA-PBEsol) results for a relaxed structure of TlAg2Rh.

```
TlAg2Rh
1.0
3.950 0.000 0.000
0.000 3.950 0.000
0.000 0.000 4.332
Tl Rh Ag
1 1 2
Direct
0.000 0.000 0.500
0.500 0.500 0.500
0.000 0.500 0.000
0.500 0.000 0.000
```

Calculated values
E_tot: -4.28 eV/atom
distance to the lowest polymorph of the same formula: 0.0000 eV per atom

=====

DFT (GGA-PBEsol) results for a relaxed structure of Tl2AgRh.

```
Tl2AgRh
1.0
3.397 0.000 0.000
0.000 3.944 0.000
0.000 0.000 5.782
Ag Rh Tl
1 1 2
Direct
0.000 0.000 0.495
0.500 0.500 0.764
0.000 0.000 0.961
0.500 0.500 0.280
```

Calculated values
E_tot: -3.97 eV/atom
distance to the lowest polymorph of the same formula: 0.0867 eV per atom

=====

DFT (GGA-PBEsol) results for a relaxed structure of TlAgRh.

```
TlAgRh
1.0
3.197 0.000 0.000
0.000 3.197 0.000
-1.598 -1.598 5.105
Ag Rh Tl
1 1 1
Direct
0.993 0.993 0.986
0.331 0.331 0.662
0.676 0.676 0.352
```

Calculated values
E_tot: -4.47 eV/atom
distance to the lowest polymorph of the same formula: 0.0000 eV per atom

=====

DFT (GGA-PBEsol) results for a relaxed structure of Tl2AgRh.

```
Tl2AgRh
1.0
4.014 0.000 0.000
0.000 4.014 0.000
-2.007 -2.007 4.678
Ag Rh Tl
1 1 2
Direct
0.500 0.500 0.000
0.250 0.750 0.500
0.000 0.000 0.000
0.750 0.250 0.500
```

Calculated values
E_tot: -4.00 eV/atom
distance to the lowest polymorph of the same formula: 0.0567 eV per atom

=====

DFT (GGA-PBEsol) results for a relaxed structure of Tl2AgRh.

```
Tl2AgRh
1.0
3.190 0.000 0.000
0.000 3.455 0.000
0.000 0.000 6.880
Ag Rh Tl
1 1 2
Direct
0.500 0.500 0.000
0.500 0.500 0.500
0.000 0.000 0.733
0.000 0.000 0.267
```

Calculated values
E_tot: -4.00 eV/atom
distance to the lowest polymorph of the same formula: 0.0619 eV per atom

=====

DFT (GGA-PBEsol) results for a relaxed structure of Tl2AgRh.

```
Tl2AgRh
1.0
-1.302 -2.760 -0.162
3.208 -1.346 -2.848
2.344 0.227 6.099
Ag Rh Tl
1 1 2
Direct
0.556 0.556 0.111
0.254 0.754 0.507
0.953 0.953 0.907
0.737 0.237 0.475
```

Calculated values
E_tot: -4.06 eV/atom
distance to the lowest polymorph of the same formula: 0.0000 eV per atom

=====

DFT (GGA-PBEsol) results for a relaxed structure of AgRhW2.

```
AgRhW2
1.0
-1.790 -0.705 1.913
-2.406 -2.767 -3.271
3.526 -2.440 2.399
Ag Rh W
1 1 2
Direct
0.500 0.000 0.000
0.500 0.500 0.500
0.000 0.500 0.000
0.000 0.000 0.500
```

Calculated values
E_tot: -9.46 eV/atom
distance to the lowest polymorph of the same formula: 0.0340 eV per atom

=====

DFT (GGA-PBEsol) results for a relaxed structure of Ag2RhW.

```
Ag2RhW
1.0
-2.247 1.449 -0.234
-0.297 -2.406 1.152
1.624 3.906 8.574
Ag Rh W
2 1 1
Direct
0.000 0.000 0.255
0.000 0.000 0.745
0.500 0.500 0.500
0.500 0.500 0.000
```

Calculated values
E_tot: -6.67 eV/atom
distance to the lowest polymorph of the same formula: 0.3543 eV per atom

=====

DFT (GGA-PBEsol) results for a relaxed structure of Ag2RhW.

```
Ag2RhW
1.0
-2.056 -1.854 -0.234
0.167 -2.029 -1.891
3.581 -6.747 5.515
Ag Rh W
2 1 1
Direct
0.999 0.999 0.002
0.752 0.752 0.744
0.504 0.504 0.488
0.245 0.245 0.266
```

Calculated values
E_tot: -7.02 eV/atom
distance to the lowest polymorph of the same formula: 0.0000 eV per atom

=====

DFT (GGA-PBEsol) results for a relaxed structure of AgRhW2.

```
AgRhW2
1.0
-1.804 3.014 -1.524
-2.884 -0.475 2.473
1.885 2.482 2.675
Ag Rh W
1 1 2
Direct
0.500 0.500 0.500
0.000 0.000 0.500
0.000 0.500 0.000
0.500 0.000 0.000
```

Calculated values
E_tot: -9.42 eV/atom
distance to the lowest polymorph of the same formula: 0.0734 eV per atom

=====

DFT (GGA-PBEsol) results for a relaxed structure of AgRhW2.

```
AgRhW2
1.0
2.712 0.000 0.000
0.000 4.095 0.000
0.000 0.000 5.421
Ag Rh W
1 1 2
Direct
0.500 0.500 0.000
0.500 0.500 0.500
0.000 0.000 0.741
0.000 0.000 0.259
```

Calculated values
E_tot: -9.49 eV/atom
distance to the lowest polymorph of the same formula: 0.0000 eV per atom

=====

DFT (GGA-PBEsol) results for a relaxed structure of AgRhW.

```
AgRhW
1.0
-1.676 -1.154 -1.760
-0.107 -1.050 2.474
-4.098 5.701 1.378
Ag Rh W
1 1 1
Direct
0.999 0.999 0.997
0.327 0.327 0.653
0.675 0.675 0.350
```

Calculated values
E_tot: -8.12 eV/atom
distance to the lowest polymorph of the same formula: 0.0885 eV per atom

=====

DFT (GGA-PBEsol) results for a relaxed structure of AgRhW.

```
AgRhW
1.0
-0.272 2.651 0.746
-0.547 -1.097 3.698
4.490 -0.546 -1.550
Ag Rh W
1 1 1
Direct
0.001 0.001 0.001
0.673 0.673 0.346
0.327 0.327 0.653
```

Calculated values
E_tot: -8.21 eV/atom
distance to the lowest polymorph of the same formula: 0.0000 eV per atom

=====

DFT (GGA-PBEsol) results for a relaxed structure of AgRhW2.

```
AgRhW2
1.0
2.852 0.000 0.000
0.000 4.630 0.015
-1.426 -0.987 4.615
Ag Rh W
1 1 2
Direct
0.500 0.000 0.000
0.000 0.500 0.000
0.257 0.263 0.513
0.743 0.737 0.487
```

Calculated values
E_tot: -9.42 eV/atom
distance to the lowest polymorph of the same formula: 0.0701 eV per atom

=====

DFT (GGA-PBEsol) results for a relaxed structure of AgRh2W.

```
AgRh2W
1.0
2.731 0.000 0.000
1.365 2.365 0.000
1.365 0.788 9.132
Ag Rh W
1 2 1
Direct
0.251 0.251 0.246
0.003 0.003 0.991
0.750 0.750 0.749
0.495 0.495 0.514
```

Calculated values
E_tot: -8.17 eV/atom

=====

DFT (GGA-PBEsol) results for a relaxed structure of Ag2RhW.

```
Ag2RhW
1.0
-0.163 3.703 0.206
-3.304 -0.239 1.676
2.048 -0.134 4.018
Ag Rh W
2 1 1
Direct
0.000 0.500 0.000
0.500 0.000 0.000
0.500 0.500 0.500
0.000 0.000 0.500
```

Calculated values
E_tot: -6.55 eV/atom
distance to the lowest polymorph of the same formula: 0.4759 eV per atom

=====

DFT (GGA-PBEsol) results for a relaxed structure of Ag2RhW.

```
Ag2RhW
1.0
-1.204 1.173 2.212
-2.125 -3.952 0.939
3.795 -1.376 2.796
Ag Rh W
2 1 1
Direct
0.000 0.000 0.000
0.500 0.500 0.000
0.500 0.000 0.500
0.000 0.500 0.500
```

Calculated values
E_tot: -6.68 eV/atom
distance to the lowest polymorph of the same formula: 0.3402 eV per atom

=====

DFT (GGA-PBEsol) results for a relaxed structure of YAg2RhW.

```
YAg2RhW
1.0
4.644 0.000 0.000
0.000 5.016 0.000
0.000 0.000 5.016
Y Rh Ag W
1 1 2 1
Direct
0.000 0.000 0.000
0.500 0.000 0.000
0.000 0.000 0.500
0.000 0.500 0.000
0.500 0.500 0.500
```

Calculated values
E_tot: -5.10 eV/atom

=====

Calculated values (eV/atom) of formation energy from the elements for the records, taken in order: 0.309; 0.202; 0.068; 0.203; 0.223; 0.173; 0.178; 0.116; 0.309; 0.473; 0.119; 0.349; 0.275; 0.296; 0.208; 0.346; 0.177; 0.595; 0.459; 1.982.